Entry 1:
An optimized crystal structure of Li2Sm2HoSi2, computed with PBE.

Computed properties:
The calculation puts the energy relative to the elements, uncorrected at -2.74 eV per formula unit. The value obtained for the final energy is -31.43 eV per cell.

Cell lengths 4.406, 4.406, 9.629 Å; angles 76.77, 76.77, 60.00 degrees
Positions (direct):
Ho: 0.000 0.000 0.000
Li: 0.391 0.391 0.828
Sm: 0.124 0.124 0.629
Li: 0.609 0.609 0.172
Si: 0.730 0.730 0.809
Sm: 0.876 0.876 0.371
Si: 0.270 0.270 0.191

=====

Entry 2:
An optimized crystal structure of Li2SmHoSi2, computed with PBE.

Computed properties:
The calculation puts the energy relative to the elements, uncorrected at -3.36 eV per formula unit. The value obtained for the final energy is -27.33 eV per cell.

Cell lengths 4.397, 4.397, 7.221 Å; angles 90.00, 90.00, 120.00 degrees
Positions (direct):
Sm: 0.000 0.000 0.000
Si: 0.333 0.667 0.260
Li: 0.667 0.333 0.273
Si: 0.667 0.333 0.740
Ho: 0.000 0.000 0.500
Li: 0.333 0.667 0.727

=====

Entry 3:
An optimized crystal structure of LiTbHoSi, computed with PBE.

Computed properties:
The calculation puts the energy relative to the elements, uncorrected at -1.44 eV per formula unit. The value obtained for the final energy is -17.98 eV per cell.

Cell lengths 4.963, 4.963, 4.963 Å; angles 60.00, 60.00, 60.00 degrees
Positions (direct):
Tb: 0.000 0.000 0.000
Si: 0.750 0.750 0.750
Li: 0.250 0.250 0.250
Ho: 0.500 0.500 0.500

=====

Entry 4:
An optimized crystal structure of Li2TbHo2Si2, computed with PBE.

Computed properties:
The calculation puts the energy relative to the elements, uncorrected at -2.75 eV per formula unit. The value obtained for the final energy is -31.21 eV per cell.

Cell lengths 4.426, 4.426, 9.144 Å; angles 76.00, 76.00, 60.00 degrees
Positions (direct):
Li: 0.400 0.400 0.799
Si: 0.737 0.737 0.788
Li: 0.600 0.600 0.201
Ho: 0.873 0.873 0.381
Tb: 0.000 0.000 0.000
Si: 0.263 0.263 0.212
Ho: 0.127 0.127 0.619

=====

Look up the energy relative to the elements, uncorrected of the second one. -3.36 eV per formula unit

=====

Which value of final energy does entry 2 give? -27.33 eV per cell

=====

What is the formula in the third record? LiTbHoSi

=====

Copy entry 1 word for word.
An optimized crystal structure of Li2Sm2HoSi2, computed with PBE.

Computed properties:
The calculation puts the energy relative to the elements, uncorrected at -2.74 eV per formula unit. The value obtained for the final energy is -31.43 eV per cell.

Cell lengths 4.406, 4.406, 9.629 Å; angles 76.77, 76.77, 60.00 degrees
Positions (direct):
Ho: 0.000 0.000 0.000
Li: 0.391 0.391 0.828
Sm: 0.124 0.124 0.629
Li: 0.609 0.609 0.172
Si: 0.730 0.730 0.809
Sm: 0.876 0.876 0.371
Si: 0.270 0.270 0.191